A relaxed LaOsI2O crystal. Source: the Alexandria database, functional PBE.

Cell lengths 6.5281, 6.5281, 4.2671 Å; angles 90.00, 90.00, 90.00 degrees
Sites, in units of the cell vectors:
La (0.0000, 0.0000, 0.0000)
Os (0.5000, 0.5000, 0.5000)
I (0.0000, 0.5000, 0.0000)
I (0.5000, 0.0000, 0.0000)
O (0.0000, 0.0000, 0.5000)

Offset from the most stable computed form, meV/atom: 440
SG: No. 123
E_form (uncorrected), eV/atom: 0.015
E_tot, eV/f.u.: -24.1